Below is a geometry-optimized LaCe5Bi6 structure, with properties calculated at the PBE-GGA level.

Properties
SG: C2/m, No. 12
Formation energy from the elements: -834 meV/atom

Cell: 8.005 8.004 8.006 Å, 60.01 80.40 70.52°
Fractional coordinates of all 12 atoms:
Bi (0.747, 0.084, 0.337)
Bi (0.253, 0.579, 0.337)
Bi (0.251, 0.253, 0.000)
Bi (0.749, 0.747, 0.000)
Bi (0.747, 0.421, 0.663)
Bi (0.253, 0.916, 0.663)
Ce (0.500, 0.165, 0.669)
Ce (0.000, 0.333, 0.334)
Ce (0.500, 0.500, 0.000)
Ce (0.000, 0.667, 0.666)
Ce (0.500, 0.835, 0.331)
La (0.000, 0.000, 0.000)

Below is a geometry-optimized CuAg2Pt structure, with properties calculated at the PBE-GGA level.

Properties
SG: C2/m, No. 12
Formation energy from the elements: 27 meV/atom

Cell: 4.919 4.919 4.816 Å, 79.80 79.80 33.67°
Fractional coordinates of all 4 atoms:
Ag (0.002, 0.002, 0.996)
Ag (0.498, 0.498, 0.504)
Cu (0.750, 0.750, 0.750)
Pt (0.250, 0.250, 0.250)

Below is a geometry-optimized RbPuHf2O8 structure, with properties calculated at the PBE-GGA level.

Properties
Formation energy without anion corrections: -32.52 eV per formula unit
SG: C2/m, No. 12

Cell: 5.448 5.448 7.657 Å, 77.85 77.85 73.90°
Fractional coordinates of all 12 atoms:
Rb (0.000, 0.000, 0.500)
Pu (0.000, 0.000, 0.000)
Hf (0.454, 0.454, 0.710)
Hf (0.546, 0.546, 0.290)
O (0.237, 0.782, 0.189)
O (0.775, 0.776, 0.086)
O (0.782, 0.237, 0.189)
O (0.763, 0.218, 0.811)
O (0.225, 0.224, 0.914)
O (0.218, 0.763, 0.811)
O (0.648, 0.648, 0.493)
O (0.352, 0.352, 0.507)

Below is a geometry-optimized PtAu2 structure, with properties calculated at the PBE-GGA level.

Properties
SG: Cmcm, No. 63
Formation energy from the elements: 74 meV/atom

Cell: 7.602 7.602 4.860 Å, 90.00 90.00 158.35°
Fractional coordinates of all 6 atoms:
Au (0.000, 0.000, 0.000)
Au (0.223, 0.777, 0.500)
Au (0.332, 0.668, 0.000)
Au (0.555, 0.445, 0.500)
Pt (0.666, 0.334, 0.000)
Pt (0.890, 0.110, 0.500)

Below is a geometry-optimized LaMoOs3 structure, with properties calculated at the PBE-GGA level.

Properties
SG: Pm-3m, No. 221
Formation energy from the elements: 3081 meV/atom

Cell: 4.735 4.735 4.735 Å, 90.00 90.00 90.00°
Fractional coordinates of all 5 atoms:
Mo (0.500, 0.500, 0.500)
Os (0.000, 0.500, 0.000)
Os (0.000, 0.000, 0.500)
Os (0.500, 0.000, 0.000)
La (0.000, 0.000, 0.000)

Below is a geometry-optimized Cu2AsSe structure, with properties calculated at the PBE-GGA level.

Properties
Formation energy without anion corrections: 0.98 eV per formula unit
SG: P4/mmm, No. 123

Cell: 3.416 3.416 5.534 Å, 90.00 90.00 90.00°
Fractional coordinates of all 4 atoms:
As (0.500, 0.500, 0.750)
Cu (0.000, 0.000, 0.987)
Cu (0.000, 0.000, 0.513)
Se (0.500, 0.500, 0.250)

Below is a geometry-optimized Ac2ThFe2N6 structure, with properties calculated at the PBE-GGA level.

Properties
Formation energy without anion corrections: -7.79 eV per formula unit
SG: R-3m, No. 166

Cell: 5.791 5.791 7.060 Å, 65.79 65.79 60.00°
Fractional coordinates of all 11 atoms:
Ac (0.788, 0.788, 0.637)
Ac (0.212, 0.212, 0.363)
Th (0.000, 0.000, 0.000)
Fe (0.410, 0.410, 0.770)
Fe (0.590, 0.590, 0.230)
N (0.742, 0.742, 0.278)
N (0.238, 0.742, 0.278)
N (0.742, 0.238, 0.278)
N (0.258, 0.762, 0.722)
N (0.762, 0.258, 0.722)
N (0.258, 0.258, 0.722)

Below is a geometry-optimized Fe2OsSe structure, with properties calculated at the PBE-GGA level.

Properties
Formation energy without anion corrections: 2.09 eV per formula unit
SG: Cmm2, No. 35

Cell: 2.662 2.662 9.419 Å, 90.00 90.00 114.34°
Fractional coordinates of all 4 atoms:
Fe (0.000, 0.000, 0.020)
Fe (0.500, 0.500, 0.230)
Os (0.000, 0.000, 0.449)
Se (0.500, 0.500, 0.801)

Below is a geometry-optimized K2Tl12Pt7 structure, with properties calculated at the PBE-GGA level.

Properties
SG: P-6, No. 174
Formation energy from the elements: -101 meV/atom

Cell: 4.476 11.655 11.655 Å, 120.00 90.00 90.00°
Fractional coordinates of all 21 atoms:
K (0.500, 0.000, 0.000)
K (0.000, 0.667, 0.333)
Tl (0.500, 0.890, 0.598)
Tl (0.500, 0.709, 0.110)
Tl (0.500, 0.402, 0.291)
Tl (0.500, 0.230, 0.783)
Tl (0.500, 0.553, 0.770)
Tl (0.500, 0.217, 0.447)
Tl (0.000, 0.052, 0.527)
Tl (0.000, 0.475, 0.948)
Tl (0.000, 0.473, 0.525)
Tl (0.000, 0.792, 0.753)
Tl (0.000, 0.961, 0.208)
Tl (0.000, 0.247, 0.039)
Pt (0.000, 0.333, 0.667)
Pt (0.000, 0.047, 0.767)
Pt (0.000, 0.721, 0.953)
Pt (0.000, 0.233, 0.279)
Pt (0.500, 0.640, 0.575)
Pt (0.500, 0.936, 0.360)
Pt (0.500, 0.425, 0.064)

Below is a geometry-optimized InAsPbO5 structure, with properties calculated at the PBE-GGA level.

Properties
Formation energy without anion corrections: -11.04 eV per formula unit
SG: C2/c, No. 15

Cell: 6.077 6.077 7.428 Å, 103.68 103.68 107.35°
Fractional coordinates of all 16 atoms:
In (0.000, 0.000, 0.500)
In (0.000, 0.000, 0.000)
As (0.680, 0.320, 0.250)
As (0.320, 0.680, 0.750)
Pb (0.317, 0.683, 0.250)
Pb (0.683, 0.317, 0.750)
O (0.085, 0.915, 0.250)
O (0.915, 0.085, 0.750)
O (0.890, 0.324, 0.123)
O (0.110, 0.676, 0.877)
O (0.676, 0.110, 0.377)
O (0.324, 0.890, 0.623)
O (0.756, 0.597, 0.425)
O (0.244, 0.403, 0.575)
O (0.403, 0.244, 0.075)
O (0.597, 0.756, 0.925)

Below is a geometry-optimized Ta2AlC structure, with properties calculated at the PBE-GGA level.

Properties
SG: I-42d, No. 122
Formation energy from the elements: 204 meV/atom

Cell: 6.509 6.509 5.428 Å, 53.15 53.15 90.00°
Fractional coordinates of all 8 atoms:
C (0.500, 0.500, 0.000)
C (0.250, 0.750, 0.500)
Al (0.000, 0.000, 0.000)
Al (0.750, 0.250, 0.500)
Ta (0.555, 0.125, 0.250)
Ta (0.195, 0.625, 0.250)
Ta (0.375, 0.445, 0.750)
Ta (0.875, 0.805, 0.750)

Below is a geometry-optimized Ba4SbP structure, with properties calculated at the PBE-GGA level.

Properties
Formation energy without anion corrections: 1.15 eV per formula unit
SG: F-43m, No. 216

Cell: 6.928 6.928 6.928 Å, 60.00 60.00 60.00°
Fractional coordinates of all 6 atoms:
Ba (0.875, 0.375, 0.375)
Ba (0.375, 0.375, 0.875)
Ba (0.375, 0.875, 0.375)
Ba (0.375, 0.375, 0.375)
Sb (0.000, 0.000, 0.000)
P (0.750, 0.750, 0.750)

Below is a geometry-optimized Tb7ErSc4 structure, with properties calculated at the PBE-GGA level.

Properties
SG: P-1, No. 2
Formation energy from the elements: 21 meV/atom

Cell: 6.969 6.041 11.034 Å, 79.50 50.91 90.08°
Fractional coordinates of all 12 atoms:
Tb (0.740, 0.504, 0.005)
Tb (0.260, 0.496, 0.995)
Tb (0.084, 0.284, 0.660)
Tb (0.916, 0.716, 0.340)
Tb (0.336, 0.777, 0.664)
Tb (0.500, 0.000, 0.000)
Tb (0.664, 0.223, 0.336)
Er (0.000, 0.000, 0.000)
Sc (0.407, 0.725, 0.337)
Sc (0.593, 0.275, 0.663)
Sc (0.840, 0.784, 0.660)
Sc (0.160, 0.216, 0.340)

Below is a geometry-optimized SiNiW structure, with properties calculated at the PBE-GGA level.

Properties
Formation energy without anion corrections: -0.77 eV per formula unit
SG: Amm2, No. 38

Cell: 4.723 4.723 7.667 Å, 90.00 90.00 118.18°
Fractional coordinates of all 12 atoms:
Si (0.159, 0.352, 0.000)
Si (0.648, 0.841, 0.000)
Si (0.009, 0.991, 0.730)
Si (0.009, 0.991, 0.270)
Ni (0.834, 0.166, 0.500)
Ni (0.833, 0.651, 0.500)
Ni (0.349, 0.167, 0.500)
Ni (0.150, 0.850, 0.000)
W (0.664, 0.336, 0.188)
W (0.340, 0.660, 0.308)
W (0.340, 0.660, 0.692)
W (0.664, 0.336, 0.812)

Below is a geometry-optimized NdPuGaRu structure, with properties calculated at the PBE-GGA level.

Properties
SG: F-43m, No. 216
Formation energy from the elements: -174 meV/atom

Cell: 5.011 5.011 5.011 Å, 60.00 60.00 60.00°
Fractional coordinates of all 4 atoms:
Ru (0.000, 0.000, 0.000)
Nd (0.750, 0.750, 0.750)
Ga (0.500, 0.500, 0.500)
Pu (0.250, 0.250, 0.250)